1.
ScPt2C | PBE | relaxed

Results
As for the density: 10.35 Mg/m³. As for the volume: 17.940 Å³ per atom. As for the total energy: -55.9 eV per cell. As for the formation enthalpy at 0 K: -31 kJ/mol of formula units.

a b c (Å): 5.758 5.758 5.943
angles (deg): 61.03 61.03 90.00
Atoms (fractional coordinates):
Pt 0.519 0.125 0.250
Pt 0.375 0.481 0.750
Pt 0.231 0.625 0.250
Pt 0.875 0.769 0.750
Sc 0.750 0.250 0.500
Sc 0.000 0.000 0.000
C 0.500 0.500 0.000
C 0.250 0.750 0.500



2.
Pm3Bi5S12 | PBE | relaxed

Results
For the uncorrected formation energy, the calculation gives -846 meV per atom. As for the density: 5.48 Mg/m³. As for the volume: 28.246 Å³ per atom. As for the total energy: -400.4 eV per cell.

a b c (Å): 14.318 14.318 14.318
angles (deg): 109.47 109.47 109.47
Atoms (fractional coordinates):
S 0.830 0.916 0.054
S 0.086 0.170 0.224
S 0.414 0.276 0.330
S 0.054 0.638 0.724
S 0.416 0.362 0.586
S 0.446 0.670 0.084
S 0.414 0.138 0.584
S 0.916 0.086 0.862
S 0.276 0.862 0.946
S 0.330 0.554 0.416
S 0.670 0.224 0.586
S 0.638 0.054 0.224
S 0.084 0.914 0.138
S 0.416 0.054 0.330
S 0.584 0.638 0.414
S 0.914 0.084 0.638
S 0.362 0.416 0.086
S 0.446 0.776 0.862
S 0.776 0.446 0.362
S 0.224 0.554 0.638
S 0.830 0.914 0.276
S 0.138 0.414 0.084
S 0.554 0.224 0.138
S 0.946 0.362 0.276
S 0.946 0.584 0.170
S 0.362 0.946 0.776
S 0.586 0.724 0.670
S 0.170 0.086 0.724
S 0.138 0.724 0.554
S 0.862 0.276 0.446
S 0.862 0.586 0.916
S 0.170 0.084 0.946
S 0.638 0.584 0.914
S 0.670 0.446 0.584
S 0.084 0.170 0.446
S 0.224 0.670 0.086
S 0.724 0.586 0.170
S 0.086 0.916 0.362
S 0.330 0.776 0.414
S 0.916 0.830 0.554
S 0.586 0.862 0.416
S 0.914 0.830 0.776
S 0.584 0.946 0.670
S 0.554 0.330 0.916
S 0.276 0.414 0.830
S 0.776 0.330 0.914
S 0.724 0.138 0.054
S 0.054 0.416 0.830
Bi 0.875 0.250 0.625
Bi 0.750 0.125 0.875
Bi 0.125 0.375 0.250
Bi 0.875 0.625 0.750
Bi 0.625 0.750 0.875
Bi 0.000 0.500 0.000
Bi 0.000 0.500 0.500
Bi 0.750 0.625 0.375
Bi 0.375 0.125 0.750
Bi 0.500 0.500 0.000
Bi 0.500 0.000 0.500
Bi 0.500 0.500 0.500
Bi 0.000 0.000 0.000
Bi 0.250 0.375 0.625
Bi 0.000 0.000 0.500
Bi 0.250 0.875 0.125
Bi 0.375 0.250 0.125
Bi 0.125 0.750 0.375
Bi 0.500 0.000 0.000
Bi 0.625 0.875 0.250
Pm 0.625 0.250 0.375
Pm 0.375 0.750 0.625
Pm 0.625 0.375 0.750
Pm 0.250 0.625 0.875
Pm 0.125 0.875 0.750
Pm 0.250 0.125 0.375
Pm 0.125 0.250 0.875
Pm 0.875 0.125 0.250
Pm 0.750 0.375 0.125
Pm 0.750 0.875 0.625
Pm 0.375 0.625 0.250
Pm 0.875 0.750 0.125



3.
Cu6AgAu3 | PBE | relaxed

Results
As for the density: 12.35 Mg/m³. As for the volume: 14.528 Å³ per atom. As for the total energy: -74.5 eV per cell. As for the formation enthalpy at 0 K: 3 kJ/mol of formula units.

a b c (Å): 4.488 7.261 9.773
angles (deg): 114.16 90.00 90.00
Atoms (fractional coordinates):
Au 0.750 0.446 0.631
Au 0.750 0.641 0.224
Au 0.250 0.775 0.973
Au 0.250 0.359 0.776
Au 0.250 0.554 0.369
Au 0.750 0.225 0.027
Ag 0.250 0.959 0.571
Ag 0.750 0.041 0.429
Cu 0.750 0.940 0.130
Cu 0.750 0.330 0.327
Cu 0.250 0.060 0.870
Cu 0.250 0.265 0.464
Cu 0.250 0.163 0.173
Cu 0.750 0.837 0.827
Cu 0.750 0.735 0.536
Cu 0.250 0.670 0.673
Cu 0.750 0.126 0.735
Cu 0.750 0.541 0.931
Cu 0.250 0.874 0.265
Cu 0.250 0.459 0.069



4.
CsHg2Sb3 | PBE | relaxed

Results
For the uncorrected formation energy, the calculation gives -122 meV per atom. As for the density: 6.86 Mg/m³. As for the volume: 36.287 Å³ per atom. As for the total energy: -29.1 eV per cell.

a b c (Å): 7.405 8.058 7.405
angles (deg): 90.08 80.22 89.92
Atoms (fractional coordinates):
Cs 0.693 0.750 0.693
Cs 0.307 0.250 0.307
Sb 0.498 0.750 0.196
Sb 0.888 0.250 0.888
Sb 0.112 0.750 0.112
Sb 0.804 0.250 0.502
Sb 0.196 0.750 0.498
Sb 0.502 0.250 0.804
Hg 0.792 0.000 0.208
Hg 0.208 0.500 0.792
Hg 0.792 0.500 0.208
Hg 0.208 0.000 0.792



5.
YTa2Nb2 | PBE | relaxed

Results
The excess energy over the best structure of this formula in the dataset is 0.000 eV per atom. As for the density: 9.91 Mg/m³. As for the volume: 21.324 Å³ per atom. As for the total energy: -97.4 eV per cell. As for the formation enthalpy at 0 K: 156 kJ/mol of formula units.

a b c (Å): 7.984 7.984 3.345
angles (deg): 90.00 90.00 90.00
Atoms (fractional coordinates):
Ta 0.365 0.865 0.000
Ta 0.135 0.365 0.000
Ta 0.865 0.635 0.000
Ta 0.635 0.135 0.000
Nb 0.855 0.355 0.500
Nb 0.355 0.145 0.500
Nb 0.145 0.645 0.500
Nb 0.645 0.855 0.500
Y 0.500 0.500 0.000
Y 0.000 0.000 0.000



6.
SrNb2CoBr | PBE | relaxed

Results
For the uncorrected formation energy, the calculation gives 649 meV per atom. As for the density: 4.62 Mg/m³. As for the volume: 29.619 Å³ per atom. As for the total energy: -27.4 eV per cell.

a b c (Å): 4.506 7.292 4.506
angles (deg): 90.00 90.00 90.00
Each line ends with the local moment (μB).
Atoms (fractional coordinates):
Sr 0.500 0.500 0.500  0.03
Nb 0.500 0.000 0.000  0.61
Nb 0.000 0.000 0.500  0.32
Co 0.000 0.000 0.000  0.02
Br 0.000 0.500 0.000  0.02



7.
K3U3ZnTe8 | PBE | relaxed

Results
For the uncorrected formation energy, the calculation gives -717 meV per atom. As for the density: 5.54 Mg/m³. As for the volume: 38.330 Å³ per atom. As for the total energy: -74.3 eV per cell.

a b c (Å): 8.815 8.783 9.888
angles (deg): 118.53 90.57 116.81
Each line ends with the local moment (μB).
Atoms (fractional coordinates):
Te 0.290 0.037 0.285  -0.07
Te 0.262 0.526 0.287  -0.03
Te 0.248 0.496 0.712  -0.01
Te 0.797 0.021 0.318  0.00
Te 0.710 0.963 0.715  -0.07
Te 0.738 0.474 0.713  -0.03
Te 0.203 0.979 0.682  0.00
Te 0.752 0.504 0.288  -0.01
Zn 0.000 0.000 0.500  0.00
U 0.500 0.000 0.500  2.46
U 0.500 0.500 0.500  2.31
U 0.000 0.500 0.500  -2.44
K 0.000 0.000 0.000  0.00
K 0.000 0.500 0.000  0.00
K 0.500 0.500 0.000  0.00



8.
KRe4Hg | PBE | relaxed

Results
As for the density: 14.74 Mg/m³. As for the volume: 18.484 Å³ per atom. As for the total energy: -44.6 eV per cell. As for the formation enthalpy at 0 K: 635 kJ/mol of formula units.

a b c (Å): 5.393 5.393 5.393
angles (deg): 60.00 60.00 60.00
Atoms (fractional coordinates):
Re 0.375 0.375 0.874
Re 0.375 0.874 0.375
Re 0.375 0.375 0.375
Re 0.874 0.375 0.375
K 0.000 0.000 0.000
Hg 0.750 0.750 0.750



9.
Ta2InAg | PBE | relaxed

Results
As for the density: 12.69 Mg/m³. As for the volume: 19.119 Å³ per atom. As for the total energy: -28.0 eV per cell. As for the formation enthalpy at 0 K: 122 kJ/mol of formula units.

a b c (Å): 5.706 5.706 5.706
angles (deg): 148.59 127.08 62.85
Atoms (fractional coordinates):
Ta 0.753 0.253 0.500
Ta 0.987 0.987 0.000
In 0.256 0.756 0.500
Ag 0.503 0.503 0.000



10.
KLiCeSe3 | PBE | relaxed

Results
For the uncorrected formation energy, the calculation gives -1484 meV per atom. As for the density: 3.92 Mg/m³. As for the volume: 29.864 Å³ per atom. As for the total energy: -56.6 eV per cell.

a b c (Å): 4.318 9.100 9.459
angles (deg): 105.39 90.00 90.00
Atoms (fractional coordinates):
Se 0.250 0.537 0.842
Se 0.250 0.125 0.870
Se 0.750 0.205 0.537
Se 0.750 0.875 0.130
Se 0.250 0.795 0.463
Se 0.750 0.463 0.158
K 0.250 0.202 0.250
K 0.750 0.798 0.750
Li 0.750 0.918 0.408
Li 0.250 0.082 0.592
Ce 0.750 0.321 0.841
Ce 0.250 0.679 0.159



11.
MnCoCu2 | PBE | relaxed

Results
As for the density: 8.36 Mg/m³. As for the volume: 11.972 Å³ per atom. As for the total energy: -23.9 eV per cell. As for the formation enthalpy at 0 K: 59 kJ/mol of formula units.

a b c (Å): 2.500 2.500 8.112
angles (deg): 90.00 90.00 109.18
Each line ends with the local moment (μB).
Atoms (fractional coordinates):
Co 0.500 0.500 0.746  1.70
Cu 0.000 0.000 0.997  0.02
Cu 0.500 0.500 0.250  0.07
Mn 0.000 0.000 0.507  2.74



12.
Pm3Sn2Ir | PBE | relaxed

Results
The excess energy over the best structure of this formula in the dataset is 0.000 eV per atom. As for the density: 8.53 Mg/m³. As for the volume: 28.064 Å³ per atom. As for the total energy: -142.9 eV per cell. As for the formation enthalpy at 0 K: -446 kJ/mol of formula units.

a b c (Å): 4.465 11.908 12.667
angles (deg): 90.00 90.00 90.00
Atoms (fractional coordinates):
Pm 0.750 0.871 0.447
Pm 0.250 0.792 0.739
Pm 0.750 0.629 0.947
Pm 0.250 0.129 0.553
Pm 0.250 0.371 0.053
Pm 0.250 0.708 0.239
Pm 0.750 0.208 0.261
Pm 0.750 0.546 0.619
Pm 0.250 0.046 0.881
Pm 0.250 0.454 0.381
Pm 0.750 0.954 0.119
Pm 0.750 0.292 0.761
Ir 0.250 0.369 0.627
Ir 0.750 0.631 0.373
Ir 0.250 0.131 0.127
Ir 0.750 0.869 0.873
Sn 0.750 0.501 0.190
Sn 0.250 0.692 0.499
Sn 0.250 0.001 0.310
Sn 0.750 0.999 0.690
Sn 0.250 0.499 0.810
Sn 0.750 0.192 0.001
Sn 0.750 0.308 0.501
Sn 0.250 0.808 0.999